(1)
12
Lattice="1.9095 -6.4040 0.0000 1.9095 6.4040 0.0000 0.0000 0.0000 9.9827" Properties=species:S:1:pos:R:3 comment="PrTmCuS3 | OQMD | PBE-GGA | relaxed" spacegroup="Cmcm, No. 63" crystal_system=orthorhombic dft_energy_ev_per_fu=-34.8 magnetic_moment_mub_per_cell=0.006 pbc="T T T"
Pr 1.9095 3.3363 7.4870
Pr 1.9095 -3.3363 2.4957
Tm 0.0000 0.0000 0.0000
Tm 0.0000 0.0000 4.9914
Cu 1.9095 0.3252 2.4957
Cu 1.9095 -0.3252 7.4870
S 1.9095 5.3266 2.4957
S 1.9095 1.7978 0.6919
S 1.9095 1.7978 4.2994
S 1.9095 -1.7978 5.6833
S 1.9095 -1.7978 9.2908
S 1.9095 -5.3266 7.4870

---

(2)
32
Lattice="5.4370 0.0000 0.0000 0.0000 3.8657 0.0000 -0.3560 0.0000 32.1394" Properties=species:S:1:pos:R:3 comment="TeIr15 | OQMD | PBE-GGA | relaxed" spacegroup="P2_1/m, No. 11" crystal_system=monoclinic e_above_lowest_polymorph_mev_per_atom=37 dft_energy_ev_per_fu=-133.9 magnetic_moment_mub_per_cell=0.032 pbc="T T T"
Te 0.2467 0.9664 10.7716
Te 4.8343 2.8993 21.3678
Ir 0.2279 0.9664 23.0068
Ir 0.3360 0.9664 25.9573
Ir 0.3167 0.9664 28.6967
Ir 0.3240 0.9664 31.4499
Ir 0.6846 0.9664 2.0732
Ir 0.6901 0.9664 4.8129
Ir 0.6701 0.9664 7.5371
Ir 1.6547 2.8993 24.5838
Ir 1.6844 2.8993 27.3212
Ir 1.6824 2.8993 30.0755
Ir 2.0373 2.8993 0.6842
Ir 2.0501 2.8993 3.4261
Ir 2.0316 2.8993 6.1722
Ir 2.0923 2.8993 8.8148
Ir 2.0900 2.8993 21.9322
Ir 2.9910 0.9664 10.2073
Ir 2.9887 0.9664 23.3246
Ir 3.0494 0.9664 25.9672
Ir 3.0309 0.9664 28.7133
Ir 3.0437 0.9664 31.4552
Ir 3.3986 0.9664 2.0640
Ir 3.3966 0.9664 4.8182
Ir 3.4263 0.9664 7.5556
Ir 4.4109 2.8993 24.6023
Ir 4.3909 2.8993 27.3265
Ir 4.3964 2.8993 30.0662
Ir 4.7570 2.8993 0.6896
Ir 4.7643 2.8993 3.4427
Ir 4.7450 2.8993 6.1821
Ir 4.8531 2.8993 9.1326